1.
The following is a PBE calculation of Sr2Cu2O5 after structural relaxation, from Alexandria.

Summary:
The excess energy over the best structure of this formula in the dataset is 0.036 eV per atom. The electronic total energy is -5.56 eV per atom. The value obtained for the total magnetic moment is 0.00 μB/cell. The value obtained for the raw formation energy is -1.52 eV per atom. Its crystal system is orthorhombic.

Lattice parameters (Å, degrees): 8.894 8.894 8.894 51.93 143.99 143.87
Positions (direct):
Sr1 0.004 0.109 0.113
Sr2 0.004 0.391 0.395
Sr3 0.996 0.609 0.605
Sr4 0.996 0.891 0.887
Cu1 0.467 0.777 0.189
Cu2 0.500 0.000 0.500
Cu3 0.500 0.500 0.000
Cu4 0.588 0.277 0.811
O1 0.001 0.255 0.751
O2 0.001 0.750 0.245
O3 0.467 0.129 0.615
O4 0.467 0.352 0.838
O5 0.505 0.250 0.249
O6 0.505 0.755 0.755
O7 0.514 0.629 0.162
O8 0.514 0.852 0.385
O9 0.723 0.105 0.117
O10 0.988 0.605 0.883

2.
The following is a PBE calculation of ZrPtPb4 after structural relaxation, from Alexandria.

Summary:
The electronic total energy is -4.31 eV per atom. Its formation energy is 0.597 eV per atom. The value obtained for the total magnetic moment is 0.00 μB/cell. Its crystal system is cubic.

Lattice parameters (Å, degrees): 6.175 6.175 6.175 60.00 60.00 60.00
Positions (direct):
Zr1 0.000 0.000 0.000
Pt1 0.250 0.250 0.250
Pb1 0.124 0.625 0.625
Pb2 0.625 0.124 0.625
Pb3 0.625 0.625 0.124
Pb4 0.625 0.625 0.625

We obtain DOS(E_F) values of 3.0 5.7 states/eV/f.u. for the records listed above, in that order.